# PBE+U ScMoAsO5, relaxed
# Crystal system   monoclinic
# Final energy   -7.2172 eV/atom
# Volume   431.47 Å³ per cell
data_ScMoAsO5
_chemical_formula_sum 'Sc4 Mo4 As4 O20'
_cell_length_a 6.664
_cell_length_b 9.222
_cell_length_c 7.599
_cell_angle_alpha 90.00
_cell_angle_beta 112.49
_cell_angle_gamma 90.00
_space_group_name_H-M_alt 'C 1 2/c 1'
_space_group_IT_number 15
loop_
_space_group_symop_operation_xyz
'x,y,z'
'-x,-y,-z'
'-x,y,-z+1/2'
'x,-y,z+1/2'
'x+1/2,y+1/2,z'
'-x+1/2,-y+1/2,-z'
'-x+1/2,y+1/2,-z+1/2'
'x+1/2,-y+1/2,z+1/2'
loop_
_atom_site_label
_atom_site_type_symbol
_atom_site_fract_x
_atom_site_fract_y
_atom_site_fract_z
Sc1 Sc 0.000 0.000 0.000
Mo1 Mo 0.000 0.313 0.250
As1 As 0.000 0.316 0.750
O1 O 0.000 0.084 0.250
O2 O 0.136 0.202 0.650
O3 O 0.169 0.428 0.922